{
  "formula": "Pm5Pr3Tm4",
  "functional": "PBE",
  "state": "optimized geometry",
  "lattice": [[5.700, -2.798, 0.000], [5.700, 2.798, 0.000], [-2.951, 0.000, 12.805]],
  "species": ["Pm", "Pm", "Pm", "Pm", "Pm", "Pr", "Pr", "Pr", "Tm", "Tm", "Tm", "Tm"],
  "frac_coords": [[0.000, 0.000, 0.000], [0.143, 0.143, 0.468], [0.337, 0.337, 0.729], [0.663, 0.663, 0.271], [0.857, 0.857, 0.532], [0.271, 0.271, 0.117], [0.500, 0.500, 0.000], [0.729, 0.729, 0.883], [0.042, 0.042, 0.769], [0.412, 0.412, 0.378], [0.588, 0.588, 0.622], [0.958, 0.958, 0.231]],
  "e_form_mev_per_atom": 222,
  "volume_a3_per_cell": 408,
  "mass_density_g_cm3": 7.413,
  "magnetic_moment_mub_per_fu": 0.41,
  "polymorph_energy_ev_per_fu": 2.45,
  "dos_at_fermi_per_ev_cell": 16.2
}